1.
Below is crystalline Li2ZrCuH at its relaxed geometry, with properties calculated at the PBEsol level.

Results
Size of the total moment (μB/f.u.): 0.01

Lattice parameters (Å, degrees): 3.7588 3.7588 4.5721 90.00 90.00 90.00
Positions (direct):
Li 0.0000 0.5000 0.0000
Li 0.5000 0.0000 0.0000
Zr 0.0000 0.0000 0.5000
Cu 0.5000 0.5000 0.5000
H 0.0000 0.0000 0.0000

2.
Below is crystalline ReOs2Pt at its relaxed geometry, with properties calculated at the PBEsol level.

Results
ΔE to the lowest computed polymorph (eV per formula unit): 0.14
Size of the total moment (μB/f.u.): 0.00
Formation enthalpy at 0 K (eV per atom): 0.09

Lattice parameters (Å, degrees): 4.7194 2.7141 4.7427 90.00 110.15 90.00
Positions (direct):
Re 0.0000 0.0000 0.0000
Os 0.5000 0.0000 0.5000
Os 0.5000 0.5000 0.0000
Pt 0.0000 0.5000 0.5000

3.
Below is crystalline YZr2W at its relaxed geometry, with properties calculated at the PBEsol level.

Results
ΔE to the lowest computed polymorph (eV per formula unit): 0.58
Size of the total moment (μB/f.u.): 0.00
Formation enthalpy at 0 K (eV per atom): 0.39

Lattice parameters (Å, degrees): 6.0960 9.7856 2.9531 90.00 109.89 90.00
Positions (direct):
Y 0.0000 0.0000 0.0000
Y 0.5000 0.5000 0.0000
Zr 0.2500 0.2500 0.5000
Zr 0.2500 0.7500 0.5000
Zr 0.7500 0.2500 0.5000
Zr 0.7500 0.7500 0.5000
W 0.0000 0.5000 0.0000
W 0.5000 0.0000 0.0000

4.
Below is crystalline La2CdCl at its relaxed geometry, with properties calculated at the PBEsol level.

Results
ΔE to the lowest computed polymorph (eV per formula unit): 0.58
ΔE_f (raw) (kJ per mole of atoms): -71
Size of the total moment (μB/f.u.): 0.00

Lattice parameters (Å, degrees): 3.5456 4.6882 13.4796 90.00 90.00 90.00
Positions (direct):
La 0.0000 0.0000 0.0000
La 0.0000 0.5000 0.2257
La 0.5000 0.0000 0.7257
La 0.5000 0.5000 0.5000
Cd 0.0000 0.5000 0.8180
Cd 0.5000 0.0000 0.3180
Cl 0.0000 0.0000 0.5461
Cl 0.5000 0.5000 0.0461

5.
Below is crystalline ScTc2Hg at its relaxed geometry, with properties calculated at the PBEsol level.

Results
Size of the total moment (μB/f.u.): 0.00
Formation enthalpy at 0 K (eV per atom): 0.10

Lattice parameters (Å, degrees): 4.1805 4.1805 7.4498 90.00 90.00 90.00
Positions (direct):
Sc 0.0000 0.0000 0.0000
Sc 0.5000 0.5000 0.5000
Tc 0.0000 0.0000 0.5000
Tc 0.0000 0.5000 0.2500
Tc 0.5000 0.0000 0.7500
Tc 0.5000 0.5000 0.0000
Hg 0.0000 0.5000 0.7500
Hg 0.5000 0.0000 0.2500

6.
Below is crystalline TaGaOs2F at its relaxed geometry, with properties calculated at the PBEsol level.

Results
ΔE_f (raw) (kJ per mole of atoms): 75
Size of the total moment (μB/f.u.): 0.00

Lattice parameters (Å, degrees): 4.2097 4.2097 4.0935 90.00 90.00 90.00
Positions (direct):
Ta 0.0000 0.0000 0.0000
Ga 0.5000 0.5000 0.0000
Os 0.0000 0.5000 0.5000
Os 0.5000 0.0000 0.5000
F 0.5000 0.5000 0.5000

7.
Below is crystalline SrSc2Ru at its relaxed geometry, with properties calculated at the PBEsol level.

Results
ΔE to the lowest computed polymorph (eV per formula unit): 1.52
Size of the total moment (μB/f.u.): 0.00
Formation enthalpy at 0 K (eV per atom): 0.39

Lattice parameters (Å, degrees): 4.4622 4.4622 4.3697 90.00 90.00 90.00
Positions (direct):
Sr 0.0000 0.0000 0.0000
Sc 0.0000 0.5000 0.5000
Sc 0.5000 0.0000 0.5000
Ru 0.5000 0.5000 0.0000

8.
Below is crystalline In2WSe at its relaxed geometry, with properties calculated at the PBEsol level.

Results
ΔE_f (raw) (kJ per mole of atoms): 50
Size of the total moment (μB/f.u.): 0.00

Lattice parameters (Å, degrees): 2.8591 3.2209 8.6240 90.00 90.00 90.00
Positions (direct):
In 0.0000 0.0000 0.2265
In 0.0000 0.0000 0.7735
W 0.5000 0.5000 0.0000
Se 0.5000 0.5000 0.5000

9.
Below is crystalline CrTcAg2 at its relaxed geometry, with properties calculated at the PBEsol level.

Results
Size of the total moment (μB/f.u.): 0.00
Formation enthalpy at 0 K (eV per atom): 0.64

Lattice parameters (Å, degrees): 2.5797 2.5797 8.7120 90.00 90.00 90.00
Positions (direct):
Cr 0.0000 0.0000 0.0000
Tc 0.0000 0.0000 0.5000
Ag 0.5000 0.5000 0.2419
Ag 0.5000 0.5000 0.7581

10.
Below is crystalline MgTlTe4 at its relaxed geometry, with properties calculated at the PBEsol level.

Results
ΔE_f (raw) (kJ per mole of atoms): 15
Size of the total moment (μB/f.u.): 0.00

Lattice parameters (Å, degrees): 6.3974 6.3974 6.3974 60.00 60.00 60.00
Positions (direct):
Mg 0.0000 0.0000 0.0000
Tl 0.2500 0.2500 0.2500
Te 0.1233 0.6256 0.6256
Te 0.6256 0.1233 0.6256
Te 0.6256 0.6256 0.1233
Te 0.6256 0.6256 0.6256

11.
Below is crystalline Tl2RuAu at its relaxed geometry, with properties calculated at the PBEsol level.

Results
Size of the total moment (μB/f.u.): 0.00
Formation enthalpy at 0 K (eV per atom): 0.40

Lattice parameters (Å, degrees): 10.5180 3.2704 4.7124 90.00 110.17 90.00
Positions (direct):
Tl 0.0000 0.0000 0.0000
Tl 0.2238 0.0000 0.6184
Tl 0.5000 0.5000 0.0000
Tl 0.7238 0.5000 0.6184
Ru 0.4882 0.0000 0.5148
Ru 0.9882 0.5000 0.5148
Au 0.2626 0.5000 0.1477
Au 0.7626 0.0000 0.1477

12.
Below is crystalline BaLaZr2 at its relaxed geometry, with properties calculated at the PBEsol level.

Results
ΔE to the lowest computed polymorph (eV per formula unit): 0.35
Size of the total moment (μB/f.u.): 0.00
Formation enthalpy at 0 K (eV per atom): 0.46

Lattice parameters (Å, degrees): 3.4047 5.8699 11.9147 90.00 90.00 90.00
Positions (direct):
Ba 0.0000 0.0000 0.0000
Ba 0.5000 0.5000 0.5000
La 0.0000 0.5000 0.7792
La 0.5000 0.0000 0.2792
Zr 0.0000 0.0000 0.5349
Zr 0.0000 0.5000 0.2358
Zr 0.5000 0.0000 0.7358
Zr 0.5000 0.5000 0.0349

Asked for VASP energy across the records above, the calculation gives -4.163 -11.089 -9.315 -4.213 -7.326 -7.673 -5.911 -5.383 -6.398 -2.924 -4.436 -5.956 eV per atom in order.